Entry from Alexandria: crystalline SiAsS2 at its relaxed geometry (GGA-PBE).

Results
ΔE_f (raw) (kJ/mol of atoms): 25.87
Energy relative to the lowest polymorph listed for this composition (eV/atom): 0.307
E (hartree per atom): -0.1585
M_tot (μB per formula unit): 0.00
Mass density (g/cm3): 3.7

Lattice parameters (Å, degrees): 6.716 6.716 6.584 90.00 90.00 90.00
Space group I-42d (No. 122)
One atom of each set of equivalent atoms:
1 Si 0.000 0.000 0.000
2 As 0.000 0.000 0.500
3 S 0.220 0.250 0.125